This record from Alexandria describes crystalline ZnCrTeO6 at its relaxed geometry. The functional is PBE+U.

The structure in CIF format:
```
data_ZnCrTeO6
_symmetry_space_group_name_H-M 'P -3 1 c'
_symmetry_Int_Tables_number 163
_symmetry_space_group_name_Hall '-P 3 2c'
_cell_length_a 5.0903
_cell_length_b 5.0903
_cell_length_c 9.0850
_cell_angle_alpha 90.00
_cell_angle_beta 90.00
_cell_angle_gamma 120.00
loop_
_atom_site_label
_atom_site_fract_x
_atom_site_fract_y
_atom_site_fract_z
Zn1 0.0000 0.0000 0.0000
Cr1 0.3333 0.6667 0.2500
Te1 0.3333 0.6667 0.7500
O1 0.0016 0.3550 0.1344
```

Values from the calculation:
DFT total energy, eV per atom: -5.858
Calculated density, g cm⁻³: 5.6